# 1
TiCd3In | PBE-GGA | relaxed

Lattice parameters (Å, degrees): 5.449 5.449 5.449 90.00 90.00 90.00
Site moments in Bohr magnetons follow the coordinates.
Element x y z (fractional)
Cd: 0.000 0.000 0.500  0.05
Cd: 0.500 0.000 0.000  0.12
Cd: 0.000 0.500 0.000  0.08
Ti: 0.000 0.000 0.000  1.78
In: 0.500 0.500 0.500  0.06

Values from the calculation:
Energy relative to the elements   0.67 eV per atom
DFT total energy   -2.0104 eV per atom
Relative energy among the computed polymorphs   0.0 kJ/mol of formula units
Total magnetic moment   0.62 μB/atom
Symmetry   No. 221

***

# 2
Pm4PdPt | PBE-GGA | relaxed

Lattice parameters (Å, degrees): 7.009 7.009 8.391 114.69 114.69 90.00
Element x y z (fractional)
Pt: 0.750 0.750 0.500
Pt: 0.250 0.250 0.500
Pd: 0.000 0.000 0.000
Pd: 0.500 0.500 0.000
Pm: 0.691 0.551 0.741
Pm: 0.551 0.051 0.741
Pm: 0.051 0.191 0.741
Pm: 0.809 0.309 0.259
Pm: 0.309 0.449 0.259
Pm: 0.191 0.691 0.741
Pm: 0.449 0.949 0.259
Pm: 0.949 0.809 0.259

Values from the calculation:
Energy relative to the elements   -0.60 eV per atom
DFT total energy   -5.6426 eV per atom
Relative energy among the computed polymorphs   0.0 kJ/mol of formula units
Total magnetic moment   0.00 μB/atom
Symmetry   No. 140

***

# 3
Cr2OsAu | PBE-GGA | relaxed

Lattice parameters (Å, degrees): 3.727 2.768 6.172 63.33 90.00 90.00
Element x y z (fractional)
Cr: 0.000 0.546 0.454
Cr: 0.000 0.954 0.046
Au: 0.500 0.750 0.750
Os: 0.500 0.250 0.250

Values from the calculation:
Energy relative to the elements   0.21 eV per atom
DFT total energy   -8.2250 eV per atom
Total magnetic moment   0.00 μB/atom
Symmetry   No. 47

***

# 4
Ni2Te4Pt | PBE-GGA | relaxed

Lattice parameters (Å, degrees): 7.739 7.738 7.726 120.07 120.06 89.94
Element x y z (fractional)
Te: 0.414 0.138 0.275
Te: 0.836 0.612 0.225
Te: 0.387 0.611 0.775
Te: 0.862 0.586 0.725
Te: 0.861 0.137 0.275
Te: 0.389 0.613 0.225
Te: 0.388 0.164 0.775
Te: 0.863 0.139 0.725
Ni: 0.625 0.375 0.750
Ni: 0.625 0.375 0.250
Ni: 0.125 0.375 0.750
Ni: 0.625 0.875 0.250
Pt: 0.000 0.000 0.000
Pt: 0.250 0.750 0.500

Values from the calculation:
DFT total energy   -4.5528 eV per atom
Total magnetic moment   0.00 μB/atom
Symmetry   No. 141
Formation energy without anion corrections   -0.24 eV per atom

***

# 5
LiMgZn5 | PBE-GGA | relaxed

Lattice parameters (Å, degrees): 4.898 4.898 5.463 90.01 90.01 112.85
Element x y z (fractional)
Zn: 0.000 0.500 0.254
Zn: 0.000 0.000 0.500
Zn: 0.500 0.000 0.746
Zn: 0.500 0.000 0.254
Zn: 0.000 0.500 0.746
Li: 0.500 0.500 0.500
Mg: 0.000 0.000 0.000

Values from the calculation:
Energy relative to the elements   -0.01 eV per atom
DFT total energy   -1.4249 eV per atom
Total magnetic moment   0.00 μB/atom
Symmetry   No. 65

***

# 6
Zn8Ag3Au2 | PBE-GGA | relaxed

Lattice parameters (Å, degrees): 5.040 5.040 10.294 75.83 75.83 60.00
Element x y z (fractional)
Au: 0.639 0.639 0.082
Au: 0.361 0.361 0.918
Zn: 0.731 0.731 0.311
Zn: 0.772 0.269 0.689
Zn: 0.269 0.269 0.689
Zn: 0.731 0.228 0.311
Zn: 0.228 0.731 0.311
Zn: 0.275 0.275 0.174
Zn: 0.269 0.772 0.689
Zn: 0.725 0.725 0.826
Ag: 0.184 0.184 0.449
Ag: 0.000 0.000 0.000
Ag: 0.816 0.816 0.551

Values from the calculation:
Energy relative to the elements   -0.02 eV per atom
DFT total energy   -1.9691 eV per atom
Total magnetic moment   0.00 μB/atom
Symmetry   No. 166

***

# 7
Th2Mg3Cd3 | PBE-GGA | relaxed

Lattice parameters (Å, degrees): 5.958 5.958 5.958 83.06 83.06 96.94
Element x y z (fractional)
Th: 0.329 0.329 0.671
Th: 0.671 0.671 0.329
Mg: 0.220 0.780 0.000
Mg: 0.780 0.000 0.780
Mg: 0.000 0.220 0.220
Cd: 0.500 0.173 0.173
Cd: 0.173 0.827 0.500
Cd: 0.827 0.500 0.827

Values from the calculation:
Energy relative to the elements   0.00 eV per atom
DFT total energy   -2.7983 eV per atom
Total magnetic moment   0.00 μB/atom
Symmetry   No. 155

***

# 8
Pm4TmSi2 | PBE-GGA | relaxed

Lattice parameters (Å, degrees): 4.939 4.939 10.336 76.18 76.18 60.00
Element x y z (fractional)
Si: 0.401 0.401 0.796
Si: 0.599 0.599 0.204
Pm: 0.894 0.894 0.317
Pm: 0.106 0.106 0.683
Pm: 0.298 0.298 0.105
Pm: 0.702 0.702 0.895
Tm: 0.500 0.500 0.500

Values from the calculation:
DFT total energy   -5.1744 eV per atom
Total magnetic moment   0.00 μB/atom
Symmetry   No. 166
Formation energy without anion corrections   -0.27 eV per atom

***

# 9
Ca2CeCl6 | PBE-GGA | relaxed

Lattice parameters (Å, degrees): 3.994 7.624 10.342 104.15 90.00 105.18
Site moments in Bohr magnetons follow the coordinates.
Element x y z (fractional)
Cl: 0.301 0.603 0.887  0.00
Cl: 0.036 0.072 0.789  0.00
Cl: 0.351 0.702 0.436  0.00
Cl: 0.964 0.928 0.211  0.00
Cl: 0.649 0.298 0.564  0.00
Cl: 0.699 0.397 0.113  0.00
Ce: 0.000 0.000 0.500  1.46
Ca: 0.669 0.338 0.836  0.01
Ca: 0.331 0.662 0.164  0.01

Values from the calculation:
DFT total energy   -4.5393 eV per atom
Relative energy among the computed polymorphs   0.0 kJ/mol of formula units
Total magnetic moment   0.22 μB/atom
Symmetry   No. 12
Formation energy without anion corrections   -2.20 eV per atom

***

# 10
Ti6RhC | PBE-GGA | relaxed

Lattice parameters (Å, degrees): 4.722 5.359 5.302 83.53 92.27 67.84
Element x y z (fractional)
Ti: 0.940 0.660 0.208
Ti: 0.228 0.033 0.333
Ti: 0.400 0.746 0.878
Ti: 0.600 0.254 0.122
Ti: 0.060 0.340 0.792
Ti: 0.772 0.967 0.667
Rh: 0.500 0.500 0.500
C: 0.000 0.000 0.000

Values from the calculation:
Energy relative to the elements   -0.38 eV per atom
DFT total energy   -8.3700 eV per atom
Total magnetic moment   0.00 μB/atom
Symmetry   No. 2

***

# 11
CdRe2Pt | PBE-GGA | relaxed

Lattice parameters (Å, degrees): 7.552 7.552 5.932 50.47 50.47 90.00
Element x y z (fractional)
Cd: 0.500 0.500 0.000
Cd: 0.250 0.750 0.500
Re: 0.665 0.125 0.250
Re: 0.875 0.915 0.750
Re: 0.085 0.625 0.250
Re: 0.375 0.335 0.750
Pt: 0.750 0.250 0.500
Pt: 0.000 0.000 0.000

Values from the calculation:
Energy relative to the elements   1.04 eV per atom
DFT total energy   -6.9260 eV per atom
Total magnetic moment   0.00 μB/atom
Symmetry   No. 122

***

# 12
NdUN2 | PBE-GGA | relaxed

Lattice parameters (Å, degrees): 5.054 5.054 6.041 114.72 114.72 90.00
Site moments in Bohr magnetons follow the coordinates.
Element x y z (fractional)
N: 0.228 0.228 0.456  -0.03
N: 0.978 0.478 0.956  -0.03
N: 0.772 0.772 0.544  -0.03
N: 0.522 0.022 0.044  -0.03
U: 0.750 0.250 0.500  0.57
U: 0.000 0.000 0.000  0.57
Nd: 0.500 0.500 0.000  0.01
Nd: 0.250 0.750 0.500  0.01

Values from the calculation:
DFT total energy   -9.5082 eV per atom
Total magnetic moment   0.14 μB/atom
Symmetry   No. 141
Formation energy without anion corrections   -1.33 eV per atom

***

# 13
PdN2Cl2 | PBE-GGA | relaxed

Lattice parameters (Å, degrees): 4.025 3.241 8.849 98.10 101.43 93.70
Site moments in Bohr magnetons follow the coordinates.
Element x y z (fractional)
N: 0.056 0.760 0.141  -0.37
N: 0.905 0.641 0.863  0.37
Cl: 0.795 0.558 0.670  0.09
Cl: 0.153 0.842 0.335  -0.09
Pd: 0.980 0.200 0.002  0.00

Values from the calculation:
DFT total energy   -4.3538 eV per atom
Relative energy among the computed polymorphs   451.5 kJ/mol of formula units
Total magnetic moment   0.00 μB/atom
Symmetry   No. 1
Formation energy without anion corrections   0.75 eV per atom

***

# 14
ZnRe2Ag | PBE-GGA | relaxed

Lattice parameters (Å, degrees): 2.672 2.672 9.402 90.00 90.00 112.64
Element x y z (fractional)
Re: 0.000 0.000 0.013
Re: 0.000 0.000 0.487
Ag: 0.500 0.500 0.750
Zn: 0.500 0.500 0.250

Values from the calculation:
Energy relative to the elements   0.50 eV per atom
DFT total energy   -6.7511 eV per atom
Total magnetic moment   0.00 μB/atom
Symmetry   No. 65

***

# 15
BaPBr2 | PBE-GGA | relaxed

Lattice parameters (Å, degrees): 6.059 5.295 5.746 64.05 90.00 90.00
Site moments in Bohr magnetons follow the coordinates.
Element x y z (fractional)
Br: 0.500 0.372 0.282  0.02
Br: 0.000 0.975 0.849  0.04
Ba: 0.500 0.700 0.651  0.00
P: 0.000 0.453 0.719  0.38

Values from the calculation:
DFT total energy   -3.5578 eV per atom
Relative energy among the computed polymorphs   7.5 kJ/mol of formula units
Total magnetic moment   0.25 μB/atom
Symmetry   No. 6
Formation energy without anion corrections   -0.89 eV per atom

***

# 16
PrNd6Tl6 | PBE-GGA | relaxed

Lattice parameters (Å, degrees): 6.535 6.535 11.037 90.00 90.00 120.01
Site moments in Bohr magnetons follow the coordinates.
Element x y z (fractional)
Nd: 0.333 0.667 0.000  0.03
Nd: 0.000 0.000 0.335  0.25
Nd: 0.667 0.333 0.500  0.14
Nd: 0.667 0.333 0.000  0.03
Nd: 0.000 0.000 0.665  0.25
Nd: 0.333 0.667 0.500  0.14
Tl: 0.000 0.500 0.754  0.00
Tl: 0.000 0.500 0.246  0.00
Tl: 0.500 0.000 0.246  0.00
Tl: 0.500 0.000 0.754  0.00
Tl: 0.500 0.500 0.246  0.00
Tl: 0.500 0.500 0.754  0.00
Pr: 0.000 0.000 0.000  0.12

Values from the calculation:
Energy relative to the elements   -0.24 eV per atom
DFT total energy   -3.8972 eV per atom
Total magnetic moment   0.18 μB/atom
Symmetry   No. 191

***

# 17
Nb3TlNi | PBE-GGA | relaxed

Lattice parameters (Å, degrees): 4.670 4.670 4.670 90.00 90.00 90.00
Element x y z (fractional)
Nb: 0.000 0.500 0.000
Nb: 0.000 0.000 0.500
Nb: 0.500 0.000 0.000
Tl: 0.500 0.500 0.500
Ni: 0.000 0.000 0.000

Values from the calculation:
Energy relative to the elements   0.70 eV per atom
DFT total energy   -6.9727 eV per atom
Relative energy among the computed polymorphs   0.0 kJ/mol of formula units
Total magnetic moment   0.00 μB/atom
Symmetry   No. 221

***

# 18
Ce6BiSb3Te2 | PBE-GGA | relaxed

Lattice parameters (Å, degrees): 4.509 9.070 10.095 102.61 102.91 90.00
Site moments in Bohr magnetons follow the coordinates.
Element x y z (fractional)
Te: 0.167 0.333 0.334  -0.02
Te: 0.833 0.667 0.666  -0.02
Ce: 0.669 0.081 0.337  0.90
Ce: 0.331 0.919 0.663  0.90
Ce: 0.334 0.414 0.669  0.95
Ce: 0.999 0.254 0.998  0.86
Ce: 0.001 0.746 0.002  0.86
Ce: 0.666 0.586 0.331  0.95
Bi: 0.500 0.000 0.000  -0.04
Sb: 0.833 0.167 0.667  -0.03
Sb: 0.500 0.500 0.000  -0.03
Sb: 0.167 0.833 0.333  -0.03

Values from the calculation:
DFT total energy   -5.9662 eV per atom
Total magnetic moment   0.51 μB/atom
Symmetry   No. 12
Formation energy without anion corrections   -1.12 eV per atom

***

# 19
Ac2Cu6NiGe | PBE-GGA | relaxed

Lattice parameters (Å, degrees): 6.648 6.605 6.648 78.47 45.00 95.38
Element x y z (fractional)
Ac: 0.240 0.693 0.546
Ac: 0.760 0.307 0.454
Cu: 0.744 0.908 0.836
Cu: 0.276 0.775 0.995
Cu: 0.771 0.775 0.501
Cu: 0.256 0.092 0.164
Cu: 0.229 0.225 0.499
Cu: 0.724 0.225 0.005
Ge: 0.000 0.000 0.000
Ni: 0.500 0.500 0.000

Values from the calculation:
Energy relative to the elements   -0.17 eV per atom
DFT total energy   -4.4897 eV per atom
Total magnetic moment   0.00 μB/atom
Symmetry   No. 2

***

# 20
Pm3YHg2 | PBE-GGA | relaxed

Lattice parameters (Å, degrees): 5.247 7.116 9.499 90.00 90.00 90.00
Element x y z (fractional)
Hg: 0.500 0.233 0.152
Hg: 0.000 0.268 0.649
Hg: 0.500 0.733 0.848
Hg: 0.000 0.768 0.351
Pm: 0.500 0.674 0.175
Pm: 0.000 0.324 0.328
Pm: 0.000 0.986 0.055
Pm: 0.000 0.486 0.945
Pm: 0.500 0.174 0.825
Pm: 0.000 0.824 0.672
Y: 0.500 0.515 0.553
Y: 0.500 0.015 0.447

Values from the calculation:
Energy relative to the elements   -0.35 eV per atom
DFT total energy   -3.8990 eV per atom
Relative energy among the computed polymorphs   0.0 kJ/mol of formula units
Total magnetic moment   0.00 μB/atom
Symmetry   No. 26